PuScAsS (GGA-PBE, relaxed); D(E_F) = 8.127 states/eV per cell; E_form (uncorrected) = -1.362 eV/atom; symmetry = R3m, No. 160
1.0
-0.987 -2.806 -2.439
3.596 1.364 0.009
1.232 -3.286 6.315
Sc As S Pu
1 1 1 1
Direct
0.474 0.135 0.624
0.293 0.545 0.853
0.977 0.386 0.378
0.134 0.965 0.114